Here is an optimized crystal structure of MnAl2P2H18O18 from Alexandria via LeMat-Bulk. Energies are from PBE with a Hubbard U.

abc: 7.081 10.240 10.577
angles: 107.12 90.09 110.06
Space group P-1 (No. 2)
Inequivalent atoms, fractional coordinates:
Mn1 0.120 0.272 0.015 (multiplicity 2)
Al1 0.000 0.500 0.500 (multiplicity 1)
Al2 0.240 0.250 0.503 (multiplicity 2)
Al3 0.500 0.000 0.500 (multiplicity 1)
P1 0.070 0.909 0.319 (multiplicity 2)
P2 0.366 0.464 0.328 (multiplicity 2)
H1 0.044 0.147 0.222 (multiplicity 2)
H2 0.082 0.728 0.456 (multiplicity 2)
H3 0.124 0.533 0.907 (multiplicity 2)
H4 0.135 0.961 0.891 (multiplicity 2)
H5 0.155 0.639 0.754 (multiplicity 2)
H6 0.204 0.950 0.644 (multiplicity 2)
H7 0.215 0.677 0.024 (multiplicity 2)
H8 0.217 0.333 0.789 (multiplicity 2)
H9 0.279 0.547 0.663 (multiplicity 2)
H10 0.314 0.014 0.168 (multiplicity 2)
H11 0.337 0.773 0.239 (multiplicity 2)
H12 0.359 0.619 0.168 (multiplicity 2)
H13 0.390 0.133 0.038 (multiplicity 2)
H14 0.399 0.933 0.713 (multiplicity 2)
H15 0.400 0.470 0.878 (multiplicity 2)
H16 0.416 0.183 0.245 (multiplicity 2)
H17 0.422 0.740 0.470 (multiplicity 2)
H18 0.427 0.185 0.907 (multiplicity 2)
O1 0.027 0.325 0.500 (multiplicity 2)
O2 0.033 0.860 0.859 (multiplicity 2)
O3 0.069 0.067 0.382 (multiplicity 2)
O4 0.082 0.877 0.168 (multiplicity 2)
O5 0.118 0.632 0.939 (multiplicity 2)
O6 0.131 0.200 0.657 (multiplicity 2)
O7 0.192 0.607 0.664 (multiplicity 2)
O8 0.227 0.541 0.402 (multiplicity 2)
O9 0.253 0.888 0.384 (multiplicity 2)
O10 0.259 0.409 0.881 (multiplicity 2)
O11 0.320 0.142 0.960 (multiplicity 2)
O12 0.323 0.312 0.347 (multiplicity 2)
O13 0.340 0.445 0.176 (multiplicity 2)
O14 0.353 0.978 0.653 (multiplicity 2)
O15 0.371 0.714 0.156 (multiplicity 2)
O16 0.409 0.438 0.620 (multiplicity 2)
O17 0.442 0.100 0.180 (multiplicity 2)
O18 0.450 0.175 0.510 (multiplicity 2)

Values from the calculation:
Total energy   -5.83 eV/atom